Here is a relaxed Sr2NiBr crystal from the Alexandria database. Energies are from PBE.

abc: 5.4336 5.4336 5.4336
angles: 60.00 60.00 60.00
Fractional coordinates of all 4 atoms:
Sr (0.0000, 0.0000, 0.0000)
Sr (0.2500, 0.2500, 0.2500)
Ni (0.5000, 0.5000, 0.5000)
Br (0.7500, 0.7500, 0.7500)

## Properties
* space-group type: F-43m
* total magnetic moment: 0.00 μB/f.u.
* density of states at the Fermi level: 2.0 states/eV/f.u.
* E_form (uncorrected): 80 meV per atom

---

Here is a relaxed Sr2NiBr6 crystal from the Alexandria database. Energies are from PBE.

abc: 6.9605 7.8199 12.0195
angles: 90.00 124.76 90.00
Fractional coordinates of all 18 atoms:
Sr (0.2195, 0.1085, 0.2542)
Sr (0.2195, 0.3915, 0.7542)
Sr (0.7805, 0.6085, 0.2458)
Sr (0.7805, 0.8915, 0.7458)
Ni (0.5000, 0.0000, 0.0000)
Ni (0.5000, 0.5000, 0.5000)
Br (0.1367, 0.1649, 0.9454)
Br (0.1367, 0.3351, 0.4454)
Br (0.2848, 0.7034, 0.9470)
Br (0.2848, 0.7966, 0.4470)
Br (0.3657, 0.0213, 0.7552)
Br (0.3657, 0.4787, 0.2552)
Br (0.6343, 0.5213, 0.7448)
Br (0.6343, 0.9787, 0.2448)
Br (0.7152, 0.2034, 0.5530)
Br (0.7152, 0.2966, 0.0530)
Br (0.8633, 0.6649, 0.5546)
Br (0.8633, 0.8351, 0.0546)

## Properties
* space-group type: P2_1/c
* total magnetic moment: 1.94 μB/f.u.
* E_form (uncorrected): -1502 meV per atom

---

Here is a relaxed Sr2NiBr crystal from the Alexandria database. Energies are from PBE.

abc: 4.4809 4.4809 6.1732
angles: 90.00 90.00 90.00
Fractional coordinates of all 4 atoms:
Sr (0.0000, 0.0000, 0.0000)
Sr (0.5000, 0.5000, 0.5000)
Ni (0.0000, 0.0000, 0.5000)
Br (0.5000, 0.5000, 0.0000)

## Properties
* space-group type: P4/mmm
* total magnetic moment: 0.00 μB/f.u.
* density of states at the Fermi level: 1.9 states/eV/f.u.
* E_form (uncorrected): -613 meV per atom

---

Here is a relaxed Sr2NiBr crystal from the Alexandria database. Energies are from PBE.

abc: 8.6407 8.6407 4.0577
angles: 90.02 90.02 26.05
Fractional coordinates of all 4 atoms:
Sr (0.0000, 0.0000, 0.0000)
Sr (0.2071, 0.2071, 0.5012)
Ni (0.5732, 0.5732, 0.5001)
Br (0.8082, 0.8082, 0.0013)

## Properties
* space-group type: Cm
* total magnetic moment: 0.00 μB/f.u.
* density of states at the Fermi level: 1.7 states/eV/f.u.
* E_form (uncorrected): -618 meV per atom